Record 1
## ZnNi2P (GGA-PBE)

Data for an optimized crystal structure of ZnNi2P.

```
16
Lattice="5.8466 0.0000 0.0000 0.0000 6.3392 0.0000 0.0000 0.0000 5.3158" Properties=species:S:1:pos:R:3 pbc="T T T"
Zn 0.0761 1.5848 0.8582
Zn 2.8473 4.7544 3.5161
Zn 2.9994 1.5848 1.7997
Zn 5.7706 4.7544 4.4575
Ni 1.1644 0.3111 3.0894
Ni 1.1644 2.8586 3.0894
Ni 1.7590 3.4807 0.4315
Ni 1.7590 6.0282 0.4315
Ni 4.0877 0.3111 4.8842
Ni 4.0877 2.8586 4.8842
Ni 4.6823 3.4807 2.2264
Ni 4.6823 6.0282 2.2264
P 0.7457 4.7544 1.9836
P 2.1777 1.5848 4.6415
P 3.6690 4.7544 0.6743
P 5.1010 1.5848 3.3321
```

Raw total energy in eV/atom: -4.936
ΔH_f (0 K) in eV per formula unit: -1.5
Energy above the lowest structure with this stoichiometry in eV per atom: 0.0000
Total magnetic moment in μB per formula unit: 0.0



Record 2
## Zn2NiP (GGA-PBE)

Data for an optimized crystal structure of Zn2NiP.

```
4
Lattice="2.4635 -4.6069 0.0000 2.4635 4.6069 0.0000 -1.3882 0.0000 2.3973" Properties=species:S:1:pos:R:3 pbc="T T T"
Zn 1.2317 2.3035 0.0000
Zn 1.2317 -2.3035 0.0000
Ni 0.0000 0.0000 0.0000
P 2.4635 0.0000 0.0000
```

Raw total energy in eV/atom: -3.373
ΔH_f (0 K) in eV per formula unit: 0.2
Total magnetic moment in μB per formula unit: 0.0



Record 3
## Zn2NiP (GGA-PBE)

Data for an optimized crystal structure of Zn2NiP.

```
4
Lattice="3.3179 0.0000 0.0000 0.0000 3.3179 0.0000 0.0000 0.0000 4.8730" Properties=species:S:1:pos:R:3 pbc="T T T"
Zn 0.0000 0.0000 1.1956
Zn 0.0000 0.0000 3.6774
Ni 1.6589 1.6589 0.0000
P 1.6589 1.6589 2.4365
```

Raw total energy in eV/atom: -3.464
ΔH_f (0 K) in eV per formula unit: -0.1
Total magnetic moment in μB per formula unit: 0.0



Record 4
## Zn2NiP (GGA-PBE)

Data for an optimized crystal structure of Zn2NiP.

```
4
Lattice="1.4426 0.8329 7.7781 -1.4426 0.8329 7.7781 0.0000 -1.6657 7.7781" Properties=species:S:1:pos:R:3 pbc="T T T"
Zn 0.0000 0.0000 0.0000
Zn 0.0000 0.0000 5.5938
Ni 0.0000 0.0000 11.3898
P 0.0000 0.0000 17.6799
```

Raw total energy in eV/atom: -3.470
ΔH_f (0 K) in eV per formula unit: -0.1
Total magnetic moment in μB per formula unit: 0.0



Record 5
## ZnNi2P (GGA-PBE)

Data for an optimized crystal structure of ZnNi2P.

```
4
Lattice="2.8987 0.0000 0.0000 0.0000 3.3610 0.0000 0.0000 0.0000 4.9950" Properties=species:S:1:pos:R:3 pbc="T T T"
Zn 0.0000 0.0000 0.0000
Ni 0.0000 0.0000 2.5080
Ni 1.4493 1.6805 1.0869
P 1.4493 1.6805 3.3308
```

Raw total energy in eV/atom: -4.760
ΔH_f (0 K) in eV per formula unit: -0.8
Energy above the lowest structure with this stoichiometry in eV per atom: 0.1766
Total magnetic moment in μB per formula unit: 0.0



Record 6
## ZnNi3P (GGA-PBE)

Data for an optimized crystal structure of ZnNi3P.

```
5
Lattice="4.2887 0.0000 0.0000 0.0000 4.2887 0.0000 0.0000 0.0000 4.2887" Properties=species:S:1:pos:R:3 pbc="T T T"
Zn 0.0000 0.0000 0.0000
Ni 0.0000 0.0000 2.1443
Ni 0.0000 2.1443 0.0000
Ni 2.1443 0.0000 0.0000
P 2.1443 2.1443 2.1443
```

Raw total energy in eV/atom: -3.790
ΔH_f (0 K) in eV per formula unit: 5.1
Energy above the lowest structure with this stoichiometry in eV per atom: 1.0175
Total magnetic moment in μB per formula unit: 0.0



Record 7
## ZnNi3P (GGA-PBE)

Data for an optimized crystal structure of ZnNi3P.

```
5
Lattice="4.1367 0.0000 0.0000 0.0000 4.1367 0.0000 0.0000 0.0000 4.1367" Properties=species:S:1:pos:R:3 pbc="T T T"
Zn 0.0000 0.0000 0.0000
Ni 0.0000 2.0684 2.0684
Ni 2.0684 0.0000 2.0684
Ni 2.0684 2.0684 0.0000
P 2.0684 2.0684 2.0684
```

Raw total energy in eV/atom: -4.807
ΔH_f (0 K) in eV per formula unit: 0.0
Energy above the lowest structure with this stoichiometry in eV per atom: 0.0000
Total magnetic moment in μB per formula unit: 0.0



Record 8
## Zn2NiP (GGA-PBE)

Data for an optimized crystal structure of Zn2NiP.

```
4
Lattice="3.7873 0.0000 0.0000 0.0000 3.7873 0.0000 0.0000 0.0000 3.6940" Properties=species:S:1:pos:R:3 pbc="T T T"
Zn 0.0000 1.8936 0.0000
Zn 1.8936 0.0000 0.0000
Ni 0.0000 0.0000 1.8470
P 1.8936 1.8936 1.8470
```

Raw total energy in eV/atom: -3.437
ΔH_f (0 K) in eV per formula unit: 0.0
Total magnetic moment in μB per formula unit: 0.0



Record 9
## ZnNi7P2 (GGA-PBE)

Data for an optimized crystal structure of ZnNi7P2.

```
10
Lattice="-1.8220 1.8220 8.8672 1.8220 -1.8220 8.8672 1.8220 1.8220 -8.8672" Properties=species:S:1:pos:R:3 pbc="T T T"
Zn 0.0000 0.0000 0.0000
Ni 1.8220 0.0000 1.8033
Ni 1.8220 0.0000 4.4336
Ni 1.8220 0.0000 7.0639
Ni 0.0000 0.0000 8.8672
Ni 0.0000 1.8220 1.8033
Ni 0.0000 1.8220 4.4336
Ni 0.0000 1.8220 7.0639
P 0.0000 0.0000 5.8209
P 0.0000 0.0000 11.9135
```

Raw total energy in eV/atom: -5.640
ΔH_f (0 K) in eV per formula unit: -3.8
Total magnetic moment in μB per formula unit: 0.0



Record 10
## ZnNi2P (GGA-PBE)

Data for an optimized crystal structure of ZnNi2P.

```
4
Lattice="3.8775 0.0000 0.0000 0.0000 3.8775 0.0000 0.0000 0.0000 3.1118" Properties=species:S:1:pos:R:3 pbc="T T T"
Zn 0.0000 0.0000 0.0000
Ni 0.0000 1.9387 1.5559
Ni 1.9387 0.0000 1.5559
P 1.9387 1.9387 0.0000
```

Raw total energy in eV/atom: -4.741
ΔH_f (0 K) in eV per formula unit: -0.7
Energy above the lowest structure with this stoichiometry in eV per atom: 0.1956
Total magnetic moment in μB per formula unit: 0.0



Record 11
## ZnNi2P2 (GGA-PBE)

Data for an optimized crystal structure of ZnNi2P2.

```
10
Lattice="7.0261 0.0000 0.0000 0.0000 7.0261 0.0000 0.0000 0.0000 2.6390" Properties=species:S:1:pos:R:3 pbc="T T T"
Zn 0.0000 0.0000 0.0000
Zn 3.5131 3.5131 0.0000
Ni 0.9019 2.6112 1.3195
Ni 2.6112 6.1243 1.3195
Ni 4.4149 0.9019 1.3195
Ni 6.1243 4.4149 1.3195
P 1.1046 4.6177 0.0000
P 2.4084 1.1046 0.0000
P 4.6177 5.9215 0.0000
P 5.9215 2.4084 0.0000
```

Raw total energy in eV/atom: -4.746
ΔH_f (0 K) in eV per formula unit: -0.1
Total magnetic moment in μB per formula unit: 0.0



Record 12
## ZnNi2P (GGA-PBE)

Data for an optimized crystal structure of ZnNi2P.

```
4
Lattice="1.8604 1.0741 4.3231 -1.8604 1.0741 4.3231 0.0000 -2.1482 4.3231" Properties=species:S:1:pos:R:3 pbc="T T T"
Zn 0.0000 0.0000 0.0000
Ni 0.0000 0.0000 2.7730
Ni 0.0000 0.0000 5.6448
P 0.0000 0.0000 10.5588
```

Raw total energy in eV/atom: -4.820
ΔH_f (0 K) in eV per formula unit: -1.0
Energy above the lowest structure with this stoichiometry in eV per atom: 0.1164
Total magnetic moment in μB per formula unit: 0.0



What did the eleventh record say?
## ZnNi2P2 (GGA-PBE)

Data for an optimized crystal structure of ZnNi2P2.

```
10
Lattice="7.0261 0.0000 0.0000 0.0000 7.0261 0.0000 0.0000 0.0000 2.6390" Properties=species:S:1:pos:R:3 pbc="T T T"
Zn 0.0000 0.0000 0.0000
Zn 3.5131 3.5131 0.0000
Ni 0.9019 2.6112 1.3195
Ni 2.6112 6.1243 1.3195
Ni 4.4149 0.9019 1.3195
Ni 6.1243 4.4149 1.3195
P 1.1046 4.6177 0.0000
P 2.4084 1.1046 0.0000
P 4.6177 5.9215 0.0000
P 5.9215 2.4084 0.0000
```

Raw total energy in eV/atom: -4.746
ΔH_f (0 K) in eV per formula unit: -0.1
Total magnetic moment in μB per formula unit: 0.0



Repeat the third record exactly.
## Zn2NiP (GGA-PBE)

Data for an optimized crystal structure of Zn2NiP.

```
4
Lattice="3.3179 0.0000 0.0000 0.0000 3.3179 0.0000 0.0000 0.0000 4.8730" Properties=species:S:1:pos:R:3 pbc="T T T"
Zn 0.0000 0.0000 1.1956
Zn 0.0000 0.0000 3.6774
Ni 1.6589 1.6589 0.0000
P 1.6589 1.6589 2.4365
```

Raw total energy in eV/atom: -3.464
ΔH_f (0 K) in eV per formula unit: -0.1
Total magnetic moment in μB per formula unit: 0.0



Repeat the eleventh record exactly.
## ZnNi2P2 (GGA-PBE)

Data for an optimized crystal structure of ZnNi2P2.

```
10
Lattice="7.0261 0.0000 0.0000 0.0000 7.0261 0.0000 0.0000 0.0000 2.6390" Properties=species:S:1:pos:R:3 pbc="T T T"
Zn 0.0000 0.0000 0.0000
Zn 3.5131 3.5131 0.0000
Ni 0.9019 2.6112 1.3195
Ni 2.6112 6.1243 1.3195
Ni 4.4149 0.9019 1.3195
Ni 6.1243 4.4149 1.3195
P 1.1046 4.6177 0.0000
P 2.4084 1.1046 0.0000
P 4.6177 5.9215 0.0000
P 5.9215 2.4084 0.0000
```

Raw total energy in eV/atom: -4.746
ΔH_f (0 K) in eV per formula unit: -0.1
Total magnetic moment in μB per formula unit: 0.0



Question: Which of these has the highest ΔH_f (0 K)?
Answer: number 6